# PBE-GGA LaBe2Cd2, relaxed
data_LaBe2Cd2
_chemical_formula_sum 'La1 Be2 Cd2'
_cell_length_a 4.4419
_cell_length_b 4.4419
_cell_length_c 5.9661
_cell_angle_alpha 68.14
_cell_angle_beta 68.14
_cell_angle_gamma 90.00
_symmetry_space_group_name_H-M 'P 1'
_symmetry_Int_Tables_number 1
loop_
_symmetry_equiv_pos_as_xyz
'x,y,z'
loop_
_atom_site_label
_atom_site_fract_x
_atom_site_fract_y
_atom_site_fract_z
Be1 0.7500 0.2500 0.5000
Be2 0.2500 0.7500 0.5000
Cd1 0.6394 0.6394 0.7213
Cd2 0.3606 0.3606 0.2787
La1 0.0000 0.0000 0.0000
# - E: -2.7945 eV/atom
# - Volume: 20.02 Å³/atom
# - E_form: 0.05 eV/atom

=====

# PBE-GGA YBeAg2, relaxed
data_YBeAg2
_chemical_formula_sum 'Y1 Be1 Ag2'
_cell_length_a 4.0006
_cell_length_b 3.6229
_cell_length_c 5.6663
_cell_angle_alpha 71.48
_cell_angle_beta 90.00
_cell_angle_gamma 90.00
_symmetry_space_group_name_H-M 'P 1'
_symmetry_Int_Tables_number 1
loop_
_symmetry_equiv_pos_as_xyz
'x,y,z'
loop_
_atom_site_label
_atom_site_fract_x
_atom_site_fract_y
_atom_site_fract_z
Ag1 0.0000 0.0374 0.0502
Ag2 0.5000 0.4323 0.2599
Be1 0.0000 0.3212 0.4818
Y1 0.5000 0.7091 0.7080
# - E: -3.9436 eV/atom
# - Volume: 19.47 Å³/atom
# - E_form: 0.03 eV/atom

=====

# PBE-GGA PrNd3Er2S6, relaxed
data_PrNd3Er2S6
_chemical_formula_sum 'Pr1 Nd3 Er2 S6'
_cell_length_a 6.9304
_cell_length_b 6.9304
_cell_length_c 6.9735
_cell_angle_alpha 99.53
_cell_angle_beta 99.53
_cell_angle_gamma 120.12
_symmetry_space_group_name_H-M 'P 1'
_symmetry_Int_Tables_number 1
loop_
_symmetry_equiv_pos_as_xyz
'x,y,z'
loop_
_atom_site_label
_atom_site_fract_x
_atom_site_fract_y
_atom_site_fract_z
Er1 0.6661 0.3339 0.0000
Er2 0.3339 0.6661 0.0000
S1 0.2686 0.2686 0.7658
S2 0.7314 0.7314 0.2342
S3 0.9204 0.5734 0.7606
S4 0.5734 0.9204 0.7606
S5 0.0796 0.4266 0.2394
S6 0.4266 0.0796 0.2394
Nd1 0.8396 0.1604 0.5000
Nd2 0.1604 0.8396 0.5000
Nd3 0.5000 0.5000 0.5000
Pr1 0.0000 0.0000 0.0000
# - ΔE_f (raw): -2003 meV per atom
# - E: -6.4174 eV/atom
# - Volume: 22.78 Å³/atom

=====

# PBE-GGA MnCuBr6, relaxed
data_MnCuBr6
_chemical_formula_sum 'Mn1 Cu1 Br6'
_cell_length_a 8.4783
_cell_length_b 6.8510
_cell_length_c 6.8510
_cell_angle_alpha 114.85
_cell_angle_beta 111.70
_cell_angle_gamma 111.70
_symmetry_space_group_name_H-M 'P 1'
_symmetry_Int_Tables_number 1
loop_
_symmetry_equiv_pos_as_xyz
'x,y,z'
loop_
_atom_site_label
_atom_site_fract_x
_atom_site_fract_y
_atom_site_fract_z
Br1 0.7809 0.8131 0.5188
Br2 0.7809 0.5188 0.8131
Br3 0.2191 0.4812 0.1869
Br4 0.2191 0.1869 0.4812
Br5 0.2624 0.9627 0.9627
Br6 0.7376 0.0373 0.0373
Cu1 0.5000 0.5000 0.5000
Mn1 0.0000 0.0000 0.0000
# - ΔE_f (raw): -402 meV per atom
# - E: -3.3153 eV/atom
# - Volume: 32.81 Å³/atom
# - Offset from the most stable computed form: 0.0 meV/atom

=====

# PBE-GGA Hf5Be2H12, relaxed
data_Hf5Be2H12
_chemical_formula_sum 'Hf5 Be2 H12'
_cell_length_a 5.2199
_cell_length_b 5.8841
_cell_length_c 6.1397
_cell_angle_alpha 104.89
_cell_angle_beta 90.00
_cell_angle_gamma 116.33
_symmetry_space_group_name_H-M 'P 1'
_symmetry_Int_Tables_number 1
loop_
_symmetry_equiv_pos_as_xyz
'x,y,z'
loop_
_atom_site_label
_atom_site_fract_x
_atom_site_fract_y
_atom_site_fract_z
Hf1 0.6748 0.3496 0.8329
Hf2 0.3252 0.6504 0.1671
Hf3 0.0000 0.0000 0.5000
Hf4 0.3286 0.6572 0.6569
Hf5 0.6714 0.3428 0.3431
H1 0.0724 0.6724 0.4174
H2 0.4000 0.3276 0.5826
H3 0.9079 0.3225 0.0814
H4 0.4146 0.3225 0.0814
H5 0.5022 0.0043 0.8485
H6 0.9984 0.9969 0.1669
H7 0.0016 0.0031 0.8331
H8 0.9276 0.3276 0.5826
H9 0.6000 0.6724 0.4174
H10 0.0921 0.6775 0.9186
H11 0.4978 0.9957 0.1515
H12 0.5854 0.6775 0.9186
Be1 0.2146 0.0000 0.0000
Be2 0.7854 0.0000 0.0000
# - E: -5.3352 eV/atom
# - Volume: 8.52 Å³/atom

=====

# PBE-GGA ZrPaZnTc, relaxed
data_ZrPaZnTc
_chemical_formula_sum 'Zr1 Pa1 Zn1 Tc1'
_cell_length_a 4.8193
_cell_length_b 4.8193
_cell_length_c 4.8193
_cell_angle_alpha 60.00
_cell_angle_beta 60.00
_cell_angle_gamma 60.00
_symmetry_space_group_name_H-M 'P 1'
_symmetry_Int_Tables_number 1
loop_
_symmetry_equiv_pos_as_xyz
'x,y,z'
loop_
_atom_site_label
_atom_site_fract_x
_atom_site_fract_y
_atom_site_fract_z
Pa1 0.7500 0.7500 0.7500
Tc1 0.5000 0.5000 0.5000
Zn1 0.0000 0.0000 0.0000
Zr1 0.2500 0.2500 0.2500
# - E: -7.5188 eV/atom
# - Volume: 19.79 Å³/atom
# - E_form: -0.10 eV/atom

=====

# PBE-GGA SbAsPb, relaxed
data_SbAsPb
_chemical_formula_sum 'Sb1 As1 Pb1'
_cell_length_a 5.3964
_cell_length_b 5.3964
_cell_length_c 3.1579
_cell_angle_alpha 90.00
_cell_angle_beta 90.00
_cell_angle_gamma 120.00
_symmetry_space_group_name_H-M 'P 1'
_symmetry_Int_Tables_number 1
loop_
_symmetry_equiv_pos_as_xyz
'x,y,z'
loop_
_atom_site_label
_atom_site_fract_x
_atom_site_fract_y
_atom_site_fract_z
As1 0.0000 0.0000 0.8335
Pb1 0.6667 0.3333 0.3322
Sb1 0.3333 0.6667 0.8343
# - ΔE_f (raw): 224 meV per atom
# - E: -3.9365 eV/atom
# - Volume: 26.55 Å³/atom
# - Offset from the most stable computed form: 178.9 meV/atom

=====

# PBE-GGA K4WBr, relaxed
data_K4WBr
_chemical_formula_sum 'K4 W1 Br1'
_cell_length_a 7.3526
_cell_length_b 7.3526
_cell_length_c 7.3526
_cell_angle_alpha 60.00
_cell_angle_beta 60.00
_cell_angle_gamma 60.00
_symmetry_space_group_name_H-M 'P 1'
_symmetry_Int_Tables_number 1
loop_
_symmetry_equiv_pos_as_xyz
'x,y,z'
loop_
_atom_site_label
_atom_site_fract_x
_atom_site_fract_y
_atom_site_fract_z
K1 0.8744 0.3752 0.3752
K2 0.3752 0.3752 0.3752
K3 0.3752 0.3752 0.8744
K4 0.3752 0.8744 0.3752
Br1 0.0000 0.0000 0.0000
W1 0.7500 0.7500 0.7500
# - ΔE_f (raw): 878 meV per atom
# - E: -2.2917 eV/atom
# - Volume: 46.85 Å³/atom

=====

# PBE-GGA Ac8Os3Br3O, relaxed
data_Ac8Os3Br3O
_chemical_formula_sum 'Ac8 Os3 Br3 O1'
_cell_length_a 8.5513
_cell_length_b 8.5539
_cell_length_c 9.6164
_cell_angle_alpha 116.44
_cell_angle_beta 90.00
_cell_angle_gamma 119.99
_symmetry_space_group_name_H-M 'P 1'
_symmetry_Int_Tables_number 1
loop_
_symmetry_equiv_pos_as_xyz
'x,y,z'
loop_
_atom_site_label
_atom_site_fract_x
_atom_site_fract_y
_atom_site_fract_z
Ac1 0.2665 0.5330 0.2998
Ac2 0.2640 0.0384 0.3133
Ac3 0.2256 0.9616 0.6867
Ac4 0.7335 0.4670 0.7002
Ac5 0.2253 0.4506 0.6864
Ac6 0.7360 0.9616 0.6867
Ac7 0.7747 0.5494 0.3136
Ac8 0.7744 0.0384 0.3133
Br1 0.5000 0.5000 0.0000
Br2 0.0000 0.5000 0.0000
Br3 0.0000 0.0000 0.0000
O1 0.0000 0.0000 0.5000
Os1 0.5000 0.0000 0.5000
Os2 0.0000 0.5000 0.5000
Os3 0.5000 0.5000 0.5000
# - ΔE_f (raw): -847 meV per atom
# - E: -5.9496 eV/atom
# - Volume: 34.84 Å³/atom

=====

# PBE-GGA AcRhPb2, relaxed
data_AcRhPb2
_chemical_formula_sum 'Ac1 Rh1 Pb2'
_cell_length_a 3.6126
_cell_length_b 3.6126
_cell_length_c 7.9838
_cell_angle_alpha 90.00
_cell_angle_beta 90.00
_cell_angle_gamma 90.00
_symmetry_space_group_name_H-M 'P 1'
_symmetry_Int_Tables_number 1
loop_
_symmetry_equiv_pos_as_xyz
'x,y,z'
loop_
_atom_site_label
_atom_site_fract_x
_atom_site_fract_y
_atom_site_fract_z
Ac1 0.5000 0.5000 0.5000
Pb1 0.0000 0.0000 0.1955
Pb2 0.0000 0.0000 0.8045
Rh1 0.5000 0.5000 0.0000
# - E: -4.8743 eV/atom
# - Volume: 26.05 Å³/atom
# - E_form: -0.16 eV/atom
# - Offset from the most stable computed form: 316.4 meV/atom

=====

# PBE-GGA CaCdSb2Te, relaxed
data_CaCdSb2Te
_chemical_formula_sum 'Ca1 Cd1 Sb2 Te1'
_cell_length_a 5.4803
_cell_length_b 5.4803
_cell_length_c 5.7964
_cell_angle_alpha 90.00
_cell_angle_beta 90.00
_cell_angle_gamma 90.00
_symmetry_space_group_name_H-M 'P 1'
_symmetry_Int_Tables_number 1
loop_
_symmetry_equiv_pos_as_xyz
'x,y,z'
loop_
_atom_site_label
_atom_site_fract_x
_atom_site_fract_y
_atom_site_fract_z
Sb1 0.0000 0.5000 0.0000
Sb2 0.5000 0.0000 0.0000
Cd1 0.0000 0.0000 0.0000
Ca1 0.5000 0.5000 0.5000
Te1 0.0000 0.0000 0.5000
# - ΔE_f (raw): 136 meV per atom
# - E: -2.7246 eV/atom
# - Volume: 34.82 Å³/atom
# - Offset from the most stable computed form: 0.0 meV/atom

=====

# PBE-GGA Be2PAu, relaxed
data_Be2PAu
_chemical_formula_sum 'Be2 P1 Au1'
_cell_length_a 3.6149
_cell_length_b 3.5076
_cell_length_c 4.9915
_cell_angle_alpha 110.36
_cell_angle_beta 90.00
_cell_angle_gamma 90.00
_symmetry_space_group_name_H-M 'P 1'
_symmetry_Int_Tables_number 1
loop_
_symmetry_equiv_pos_as_xyz
'x,y,z'
loop_
_atom_site_label
_atom_site_fract_x
_atom_site_fract_y
_atom_site_fract_z
Au1 0.5000 0.7164 0.8057
P1 0.0000 0.5116 0.3996
Be1 0.5000 0.3891 0.1551
Be2 0.0000 0.8828 0.1396
# - E: -4.1859 eV/atom
# - Volume: 14.83 Å³/atom
# - E_form: -0.15 eV/atom

=====

# PBE-GGA YScCo3, relaxed
data_YScCo3
_chemical_formula_sum 'Y1 Sc1 Co3'
_cell_length_a 4.4654
_cell_length_b 4.4654
_cell_length_c 4.4654
_cell_angle_alpha 90.00
_cell_angle_beta 90.00
_cell_angle_gamma 90.00
_symmetry_space_group_name_H-M 'P 1'
_symmetry_Int_Tables_number 1
loop_
_symmetry_equiv_pos_as_xyz
'x,y,z'
loop_
_atom_site_label
_atom_site_fract_x
_atom_site_fract_y
_atom_site_fract_z
Sc1 0.0000 0.0000 0.0000
Y1 0.5000 0.5000 0.5000
Co1 0.0000 0.5000 0.0000
Co2 0.0000 0.0000 0.5000
Co3 0.5000 0.0000 0.0000
# - E: -6.2387 eV/atom
# - Volume: 17.81 Å³/atom
# - E_form: 0.58 eV/atom
# - Offset from the most stable computed form: 0.0 meV/atom

=====

# PBE-GGA Ba2TaBr, relaxed
data_Ba2TaBr
_chemical_formula_sum 'Ba2 Ta1 Br1'
_cell_length_a 4.0023
_cell_length_b 4.0038
_cell_length_c 8.9442
_cell_angle_alpha 90.00
_cell_angle_beta 90.00
_cell_angle_gamma 90.00
_symmetry_space_group_name_H-M 'P 1'
_symmetry_Int_Tables_number 1
loop_
_symmetry_equiv_pos_as_xyz
'x,y,z'
loop_
_atom_site_label
_atom_site_fract_x
_atom_site_fract_y
_atom_site_fract_z
Br1 0.5000 0.5000 0.2500
Ba1 0.0000 0.0000 0.5123
Ba2 0.0000 0.0000 0.9877
Ta1 0.5000 0.5000 0.7500
# - ΔE_f (raw): 111 meV per atom
# - E: -4.2315 eV/atom
# - Volume: 35.83 Å³/atom
# - Offset from the most stable computed form: 0.0 meV/atom

=====

# PBE-GGA La2CdSnIr, relaxed
data_La2CdSnIr
_chemical_formula_sum 'La4 Cd2 Sn2 Ir2'
_cell_length_a 4.5926
_cell_length_b 8.1073
_cell_length_c 7.9298
_cell_angle_alpha 109.95
_cell_angle_beta 90.00
_cell_angle_gamma 90.00
_symmetry_space_group_name_H-M 'P 1'
_symmetry_Int_Tables_number 1
loop_
_symmetry_equiv_pos_as_xyz
'x,y,z'
loop_
_atom_site_label
_atom_site_fract_x
_atom_site_fract_y
_atom_site_fract_z
Sn1 0.7500 0.4453 0.3214
Sn2 0.2500 0.5547 0.6786
La1 0.7500 0.8852 0.6714
La2 0.2500 0.1148 0.3286
La3 0.7500 0.7246 0.0430
La4 0.2500 0.2754 0.9570
Ir1 0.7500 0.1114 0.0867
Ir2 0.2500 0.8886 0.9133
Cd1 0.7500 0.3145 0.6602
Cd2 0.2500 0.6855 0.3398
# - E: -5.3200 eV/atom
# - Volume: 27.75 Å³/atom
# - E_form: -0.59 eV/atom
# - Offset from the most stable computed form: 0.0 meV/atom

=====

# PBE-GGA SmTc2Ge2, relaxed
data_SmTc2Ge2
_chemical_formula_sum 'Sm2 Tc4 Ge4'
_cell_length_a 4.1584
_cell_length_b 4.2005
_cell_length_c 11.2331
_cell_angle_alpha 101.41
_cell_angle_beta 100.67
_cell_angle_gamma 90.00
_symmetry_space_group_name_H-M 'P 1'
_symmetry_Int_Tables_number 1
loop_
_symmetry_equiv_pos_as_xyz
'x,y,z'
loop_
_atom_site_label
_atom_site_fract_x
_atom_site_fract_y
_atom_site_fract_z
Ge1 0.2777 0.9465 0.5554
Ge2 0.7223 0.0535 0.4446
Ge3 0.6052 0.8589 0.2106
Ge4 0.3948 0.1411 0.7894
Tc1 0.9651 0.2127 0.9304
Tc2 0.4635 0.7120 0.9272
Tc3 0.5365 0.2880 0.0728
Tc4 0.0349 0.7873 0.0696
Sm1 0.8420 0.5709 0.6841
Sm2 0.1580 0.4291 0.3159
# - E: -7.4183 eV/atom
# - Volume: 18.89 Å³/atom
# - E_form: -0.48 eV/atom
# - Offset from the most stable computed form: 0.0 meV/atom

=====

# PBE-GGA UBSe4, relaxed
data_UBSe4
_chemical_formula_sum 'U2 B2 Se8'
_cell_length_a 6.5185
_cell_length_b 6.5046
_cell_length_c 7.7789
_cell_angle_alpha 90.00
_cell_angle_beta 90.00
_cell_angle_gamma 90.00
_symmetry_space_group_name_H-M 'P 1'
_symmetry_Int_Tables_number 1
loop_
_symmetry_equiv_pos_as_xyz
'x,y,z'
loop_
_atom_site_label
_atom_site_fract_x
_atom_site_fract_y
_atom_site_fract_z
Se1 0.2255 0.3192 0.1230
Se2 0.1807 0.8149 0.3383
Se3 0.7745 0.6808 0.1230
Se4 0.2255 0.6808 0.8770
Se5 0.1807 0.1851 0.6617
Se6 0.8193 0.8149 0.6617
Se7 0.7745 0.3192 0.8770
Se8 0.8193 0.1851 0.3383
U1 0.0000 0.0000 0.0000
U2 0.5000 0.0000 0.5000
B1 0.0000 0.5000 0.0000
B2 0.0000 0.0000 0.5000
# - ΔE_f (raw): -361 meV per atom
# - E: -5.6786 eV/atom
# - Volume: 27.49 Å³/atom

=====

# PBE-GGA La6C2Br3F, relaxed
data_La6C2Br3F
_chemical_formula_sum 'La6 C2 Br3 F1'
_cell_length_a 6.7419
_cell_length_b 6.7419
_cell_length_c 7.8714
_cell_angle_alpha 98.22
_cell_angle_beta 98.22
_cell_angle_gamma 120.03
_symmetry_space_group_name_H-M 'P 1'
_symmetry_Int_Tables_number 1
loop_
_symmetry_equiv_pos_as_xyz
'x,y,z'
loop_
_atom_site_label
_atom_site_fract_x
_atom_site_fract_y
_atom_site_fract_z
Br1 0.5000 0.5000 0.5000
Br2 0.8323 0.1677 0.5000
Br3 0.1677 0.8323 0.5000
La1 0.0621 0.4091 0.1866
La2 0.4091 0.0621 0.1866
La3 0.2845 0.2845 0.8135
La4 0.5909 0.9379 0.8134
La5 0.7155 0.7155 0.1865
La6 0.9379 0.5909 0.8134
C1 0.3339 0.6661 0.0000
C2 0.6661 0.3339 0.0000
F1 0.0000 0.0000 0.0000
# - ΔE_f (raw): -1254 meV per atom
# - E: -5.8295 eV/atom
# - Volume: 24.73 Å³/atom

=====

# PBE-GGA Tl2CrIn, relaxed
data_Tl2CrIn
_chemical_formula_sum 'Tl2 Cr1 In1'
_cell_length_a 5.2508
_cell_length_b 5.2508
_cell_length_c 5.2508
_cell_angle_alpha 60.00
_cell_angle_beta 60.00
_cell_angle_gamma 60.00
_symmetry_space_group_name_H-M 'P 1'
_symmetry_Int_Tables_number 1
loop_
_symmetry_equiv_pos_as_xyz
'x,y,z'
loop_
_atom_site_label
_atom_site_fract_x
_atom_site_fract_y
_atom_site_fract_z
Tl1 0.2500 0.2500 0.2500
Tl2 0.0000 0.0000 0.0000
Cr1 0.5000 0.5000 0.5000
In1 0.7500 0.7500 0.7500
# - E: -3.8189 eV/atom
# - Volume: 25.59 Å³/atom
# - E_form: 0.45 eV/atom
# - Offset from the most stable computed form: 138.7 meV/atom

=====

# PBE-GGA ScTiH2, relaxed
data_ScTiH2
_chemical_formula_sum 'Sc1 Ti1 H2'
_cell_length_a 3.0699
_cell_length_b 3.0699
_cell_length_c 5.4057
_cell_angle_alpha 73.50
_cell_angle_beta 73.50
_cell_angle_gamma 60.00
_symmetry_space_group_name_H-M 'P 1'
_symmetry_Int_Tables_number 1
loop_
_symmetry_equiv_pos_as_xyz
'x,y,z'
loop_
_atom_site_label
_atom_site_fract_x
_atom_site_fract_y
_atom_site_fract_z
Sc1 0.4947 0.4947 0.5158
Ti1 0.6719 0.6719 0.9843
H1 0.2636 0.2636 0.2092
H2 0.0698 0.0698 0.7907
# - E: -5.4719 eV/atom
# - Volume: 10.42 Å³/atom
# - Offset from the most stable computed form: 100.8 meV/atom

=====

# PBE-GGA InTc3Bi, relaxed
data_InTc3Bi
_chemical_formula_sum 'In1 Tc3 Bi1'
_cell_length_a 5.0103
_cell_length_b 5.0103
_cell_length_c 5.0103
_cell_angle_alpha 90.00
_cell_angle_beta 90.00
_cell_angle_gamma 90.00
_symmetry_space_group_name_H-M 'P 1'
_symmetry_Int_Tables_number 1
loop_
_symmetry_equiv_pos_as_xyz
'x,y,z'
loop_
_atom_site_label
_atom_site_fract_x
_atom_site_fract_y
_atom_site_fract_z
Bi1 0.5000 0.5000 0.5000
Tc1 0.0000 0.5000 0.0000
Tc2 0.5000 0.0000 0.0000
Tc3 0.0000 0.0000 0.5000
In1 0.0000 0.0000 0.0000
# - E: -5.5409 eV/atom
# - Volume: 25.15 Å³/atom
# - E_form: 2.00 eV/atom
# - Offset from the most stable computed form: 0.0 meV/atom

=====

# PBE-GGA Zn2FeCo, relaxed
data_Zn2FeCo
_chemical_formula_sum 'Zn2 Fe1 Co1'
_cell_length_a 4.4771
_cell_length_b 4.4771
_cell_length_c 4.5436
_cell_angle_alpha 80.52
_cell_angle_beta 80.52
_cell_angle_gamma 33.78
_symmetry_space_group_name_H-M 'P 1'
_symmetry_Int_Tables_number 1
loop_
_symmetry_equiv_pos_as_xyz
'x,y,z'
loop_
_atom_site_label
_atom_site_fract_x
_atom_site_fract_y
_atom_site_fract_z
Co1 0.5024 0.5024 0.4840
Zn1 0.7548 0.7548 0.7487
Zn2 0.9977 0.9977 0.0003
Fe1 0.2451 0.2451 0.2671
# - E: -4.4969 eV/atom
# - Volume: 12.47 Å³/atom
# - E_form: 0.03 eV/atom
# - Offset from the most stable computed form: 40.1 meV/atom